Entry 1:
Fe6Co: relaxed, PBE-GGA.

Results
For the total energy, the calculation gives -7.782 eV per atom. The formation energy comes out at 3.41 eV/f.u.

Cell lengths 4.685, 4.685, 8.151 Å; angles 90.00, 90.00, 90.00 degrees
Space group P4/nbm (No. 125, origin choice 2)
Asymmetric unit:
Fe  0.068  0.568  0.137 [8 per cell]
Fe  0.250  0.250  0.353 [4 per cell]
Co  0.250  0.750  0.500 [2 per cell]

=====

Entry 2:
Ca2TlSiIr: relaxed, PBE-GGA.

Results
The value obtained for the raw formation energy is -33.8 kJ per mole of atoms. For the total energy, the calculation gives -4.481 eV per atom.

Cell lengths 5.561, 5.561, 4.583 Å; angles 90.00, 90.00, 90.00 degrees
Space group P4/mmm (No. 123)
Asymmetric unit:
Ca  0.000  0.500  0.000 [2 per cell]
Tl  0.000  0.000  0.500 [1 per cell]
Si  0.500  0.500  0.500 [1 per cell]
Ir  0.500  0.500  0.000 [1 per cell]

=====

Entry 3:
Mg2Cd12In5: relaxed, PBE-GGA.

Results
For the total energy, the calculation gives -1.449 eV per atom. The formation energy comes out at 0.33 eV/f.u.

Cell lengths 15.478, 11.193, 5.616 Å; angles 90.00, 108.68, 90.00 degrees
Space group C2/m (No. 12)
Asymmetric unit:
Mg  0.000  0.246  0.000 [4 per cell]
Cd  0.057  0.500  0.268 [4 per cell]
Cd  0.100  0.256  0.591 [8 per cell]
Cd  0.103  0.000  0.053 [4 per cell]
Cd  0.198  0.245  0.195 [8 per cell]
In  0.000  0.000  0.500 [2 per cell]
In  0.174  0.500  0.833 [4 per cell]
In  0.214  0.000  0.604 [4 per cell]

=====

Entry 4:
RbBaSrPt2: relaxed, PBE-GGA.

Results
For the total energy, the calculation gives -2.664 eV per atom. The formation energy comes out at 3.34 eV/f.u.

Cell lengths 5.794, 5.794, 5.432 Å; angles 90.00, 90.00, 90.00 degrees
Space group P4/mmm (No. 123)
Asymmetric unit:
Rb  0.000  0.000  0.000 [1 per cell]
Ba  0.500  0.500  0.500 [1 per cell]
Sr  0.000  0.000  0.500 [1 per cell]
Pt  0.000  0.500  0.000 [2 per cell]

=====

Entry 5:
Sr2CaNiSn: relaxed, PBE-GGA.

Results
For the total energy, the calculation gives -3.233 eV per atom. The formation energy comes out at -1.01 eV/f.u.

Cell lengths 5.793, 5.793, 4.987 Å; angles 90.00, 90.00, 90.00 degrees
Space group P4/mmm (No. 123)
Asymmetric unit:
Sr  0.000  0.500  0.000 [2 per cell]
Ca  0.000  0.000  0.500 [1 per cell]
Ni  0.500  0.500  0.000 [1 per cell]
Sn  0.500  0.500  0.500 [1 per cell]

=====

Entry 6:
Li2GeC: relaxed, PBE-GGA.

Results
For the total energy, the calculation gives -3.700 eV per atom. The formation energy comes out at 2.87 eV/f.u.

Cell lengths 3.335, 3.335, 16.696 Å; angles 90.00, 90.00, 90.00 degrees
Space group I-42d (No. 122)
Asymmetric unit:
Li  0.211  0.250  0.125 [8 per cell]
Ge  0.000  0.000  0.500 [4 per cell]
C  0.000  0.000  0.000 [4 per cell]

=====

Entry 7:
Ce6In2CoH: relaxed, PBE-GGA.

Results
For the total energy, the calculation gives -5.392 eV per atom.

Cell lengths 6.893, 7.167, 9.993 Å; angles 90.00, 90.00, 90.00 degrees
Space group Immm (No. 71)
Asymmetric unit:
Ce  0.000  0.000  0.242 [4 per cell]
Ce  0.211  0.248  0.500 [8 per cell]
In  0.000  0.500  0.238 [4 per cell]
Co  0.000  0.000  0.000 [2 per cell]
H  0.000  0.000  0.500 [2 per cell]

=====

Entry 8:
CeEr4Tl7: relaxed, PBE-GGA.

Results
For the total energy, the calculation gives -3.451 eV per atom. The formation energy comes out at -0.66 eV/f.u.

Cell lengths 13.325, 5.771, 11.413 Å; angles 90.00, 123.87, 90.00 degrees
Space group C2/m (No. 12)
Asymmetric unit:
Ce  0.000  0.000  0.000 [2 per cell]
Er  0.085  0.500  0.783 [4 per cell]
Er  0.219  0.500  0.327 [4 per cell]
Tl  0.000  0.500  0.000 [2 per cell]
Tl  0.080  0.000  0.331 [4 per cell]
Tl  0.135  0.500  0.547 [4 per cell]
Tl  0.213  0.000  0.895 [4 per cell]